Rb2FeO3, relaxed, DFT PBE+U; space-group type = P6_3/mmc, No. 194; final energy = -59.23 eV/cell
1.0
6.4469 0.0000 0.0000
-3.2235 5.5832 0.0000
0.0000 0.0000 7.9464
Rb Fe O
4 2 6
direct
0.0000 0.0000 0.0000 Rb
0.0000 0.0000 0.5000 Rb
0.3333 0.6667 0.2500 Rb
0.6667 0.3333 0.7500 Rb
0.3333 0.6667 0.7500 Fe
0.6667 0.3333 0.2500 Fe
0.1835 0.3670 0.7500 O
0.1835 0.8165 0.7500 O
0.3670 0.1835 0.2500 O
0.6330 0.8165 0.7500 O
0.8165 0.1835 0.2500 O
0.8165 0.6330 0.2500 O